! Ce2GaRh (PBE, optimized geometry); values from VASP
&SYSTEM
  ibrav = 0, nat = 4, ntyp = 3
/
ATOMIC_SPECIES
Ce 140.12 Ce.upf
Ga 69.72 Ga.upf
Rh 102.91 Rh.upf
ATOMIC_POSITIONS crystal
Ce 0.000 0.000 0.226
Ce 0.000 0.000 0.774
Ga 0.500 0.500 0.500
Rh 0.500 0.500 0.000
CELL_PARAMETERS angstrom
3.722 0.000 0.000
0.000 3.722 0.000
0.000 0.000 6.369
! * mass density: 8.52 g/cm3
! * calculated formation energy: -0.571 eV/atom